No. 1
Compound: Ca3MnRh
Source: Alexandria
Functional: PBE-GGA
Structure: relaxed

```
Ca3MnRh
1.0
5.3679 0.0000 0.0000
0.0000 5.3679 0.0000
0.0000 0.0000 5.3679
Ca Mn Rh
3 1 1
Direct
0.0000 0.0000 0.5000 Ca
0.0000 0.5000 0.0000 Ca
0.5000 0.0000 0.0000 Ca
0.5000 0.5000 0.5000 Mn
0.0000 0.0000 0.0000 Rh
```

Calculated values
For the formation enthalpy at 0 K, the calculation gives 15.65 kcal/mol of atoms. As for the total DFT energy (no corrections): -3.8267 eV/atom. The total magnetic moment comes out at 0.6 μB per cell.

=====

No. 2
Compound: LaNdRh
Source: Alexandria
Functional: PBE-GGA
Structure: relaxed

```
LaNdRh
1.0
7.0512 0.0000 0.0000
0.0000 7.0512 0.0000
0.0000 0.0000 7.0512
La Nd Rh
4 4 4
Direct
0.0000 0.0000 0.0000 La
0.0000 0.5000 0.5000 La
0.5000 0.0000 0.5000 La
0.5000 0.5000 0.0000 La
0.0000 0.0000 0.5000 Nd
0.0000 0.5000 0.0000 Nd
0.5000 0.0000 0.0000 Nd
0.5000 0.5000 0.5000 Nd
0.2500 0.2500 0.2500 Rh
0.2500 0.7500 0.7500 Rh
0.7500 0.2500 0.7500 Rh
0.7500 0.7500 0.2500 Rh
```

Calculated values
For the formation enthalpy at 0 K, the calculation gives -10.69 kcal/mol of atoms. As for the total DFT energy (no corrections): -6.1459 eV/atom. The total magnetic moment comes out at 0.0 μB per cell.

=====

- The lowest total magnetic moment belongs to which entry?
  LaNdRh

=====

- Which formula does entry 1 have?
  Ca3MnRh